Computed, not measured: Ba2OsBr at its PBEsol-relaxed geometry at the SCAN level of DFT.

Properties
* E above lowest polymorph: 0.000 eV per atom
* magnetization: 0.0 μB/f.u.
* E_form (uncorrected): -0.36 eV per atom
* DFT total energy: -42.967 eV/atom

Cell lengths 3.6889, 3.6889, 8.4843 Å; angles 90.00, 90.00, 90.00 degrees
Closest atoms and distances in Å follow each position.
Space group P4/mmm (No. 123)
Symmetry-distinct sites (fractional):
Ba: 0.0000 0.0000 0.2223 [2 per cell]  4 Os 3.22, 4 Br 3.51
Os: 0.5000 0.5000 0.0000 [1 per cell]  8 Ba 3.22
Br: 0.5000 0.5000 0.5000 [1 per cell]  8 Ba 3.51, 4 Br 3.69